# 1
A plane-wave DFT calculation with PBE-GGA was carried out for a relaxed LiTaFe2 crystal.

Output
DFT formation energy ... 0.317 eV/atom

Unit cell a=2.6604 b=2.6604 c=8.0506 alpha=90.00 beta=90.00 gamma=90.00
With the nearest neighbours (Å) after each atom.
Space group P4/mmm (No. 123)
Symmetry-distinct sites (fractional):
Li (0.0000, 0.0000, 0.0000) [1 per cell]  4 Li 2.66, 8 Fe 2.71
Ta (0.0000, 0.0000, 0.5000) [1 per cell]  4 Ta 2.66, 8 Fe 2.80
Fe (0.5000, 0.5000, 0.2426) [2 per cell]  4 Fe 2.66, 4 Li 2.71, 4 Ta 2.80

***

# 2
A plane-wave DFT calculation with PBE-GGA was carried out for a relaxed TbMg2Pa crystal.

Output
DFT formation energy ... 0.312 eV/atom

Unit cell a=3.1550 b=3.1550 c=37.0323 alpha=90.00 beta=90.00 gamma=120.00
With the nearest neighbours (Å) after each atom.
Space group R-3m (No. 166, hexagonal axes)
Symmetry-distinct sites (fractional):
Tb (0.0000, 0.0000, 0.0000) [3 per cell]  6 Tb 3.16, 6 Mg 3.45
Mg (0.0000, 0.0000, 0.4124) [6 per cell]  6 Mg 3.16, 1 Pa 3.24, 3 Tb 3.45
Pa (0.0000, 0.0000, 0.5000) [3 per cell]  6 Pa 3.16, 2 Mg 3.24

***

# 3
A plane-wave DFT calculation with PBE-GGA was carried out for a relaxed KCd2AgI6 crystal.

Output
Formation energy without anion corrections ... -0.682 eV/atom

Unit cell a=15.7867 b=14.8516 c=8.5151 alpha=90.00 beta=111.15 gamma=90.00
With the nearest neighbours (Å) after each atom.
Space group C2/c (No. 15)
Symmetry-distinct sites (fractional):
K (0.0000, 0.1299, 0.2500) [4 per cell]  6 I 3.50-3.68
Cd (0.1899, 0.4264, 0.2019) [8 per cell]  4 I 2.83-2.89
Ag (0.0000, 0.2058, 0.7500) [4 per cell]  4 I 2.80-3.00
I (0.1177, 0.0684, 0.6693) [8 per cell]  1 Cd 2.83, 1 Ag 3.00
I (0.1251, 0.4269, 0.4784) [8 per cell]  2 Cd 2.83-2.89
I (0.1280, 0.2544, 0.0644) [8 per cell]  1 Ag 2.80, 1 Cd 2.83

***

# 4
A plane-wave DFT calculation with PBE-GGA was carried out for a relaxed HfTa3Os crystal.

Output
DFT formation energy ... 2.364 eV/atom
Distance to the lowest polymorph of the same formula ... 1.355 eV/atom

Unit cell a=4.7778 b=4.7778 c=4.7778 alpha=90.00 beta=90.00 gamma=90.00
With the nearest neighbours (Å) after each atom.
Space group Pm-3m (No. 221)
Symmetry-distinct sites (fractional):
Hf (0.0000, 0.0000, 0.0000) [1 per cell]  6 Ta 2.39
Ta (0.0000, 0.0000, 0.5000) [3 per cell]  2 Hf 2.39
Os (0.5000, 0.5000, 0.5000) [1 per cell]  12 Ta 3.38